[1]
MgFeF4: optimized geometry, PBE with a Hubbard U.

a = 5.103 Å, b = 4.981 Å, c = 6.620 Å
α = 113.06°, β = 113.61°, γ = 87.69°
Site moments in Bohr magnetons follow the coordinates.
Element x y z (fractional)
1 Mg 0.414 0.164 0.828  0.00
2 Mg 0.586 0.836 0.172  0.00
3 Fe 0.156 0.406 0.312  3.81
4 Fe 0.844 0.594 0.688  3.81
5 F 0.222 0.903 0.912  0.02
6 F 0.690 0.509 0.912  0.02
7 F 0.886 0.701 0.404  0.04
8 F 0.114 0.299 0.596  0.04
9 F 0.483 0.797 0.596  0.04
10 F 0.310 0.491 0.088  0.02
11 F 0.517 0.203 0.404  0.04
12 F 0.778 0.097 0.088  0.02

Properties
excess energy over the best structure of this formula in the dataset	0.000	eV per atom
symmetry	No. 15

=====

[2]
MgFeF5: optimized geometry, PBE with a Hubbard U.

a = 5.285 Å, b = 5.285 Å, c = 7.541 Å
α = 68.70°, β = 68.70°, γ = 71.61°
Site moments in Bohr magnetons follow the coordinates.
Element x y z (fractional)
1 Mg 0.473 0.527 0.750  0.01
2 Mg 0.527 0.473 0.250  0.01
3 Fe 0.000 0.000 0.500  4.48
4 Fe 0.000 0.000 0.000  4.48
5 F 0.878 0.122 0.250  0.10
6 F 0.122 0.878 0.750  0.10
7 F 0.790 0.715 0.135  0.09
8 F 0.285 0.210 0.365  0.09
9 F 0.282 0.676 0.451  0.08
10 F 0.324 0.718 0.049  0.08
11 F 0.718 0.324 0.549  0.08
12 F 0.676 0.282 0.951  0.08
13 F 0.715 0.790 0.635  0.09
14 F 0.210 0.285 0.865  0.09

Properties
excess energy over the best structure of this formula in the dataset	0.000	eV per atom
symmetry	No. 15

=====

Please write out number 1 again, unchanged.
MgFeF4: optimized geometry, PBE with a Hubbard U.

a = 5.103 Å, b = 4.981 Å, c = 6.620 Å
α = 113.06°, β = 113.61°, γ = 87.69°
Site moments in Bohr magnetons follow the coordinates.
Element x y z (fractional)
1 Mg 0.414 0.164 0.828  0.00
2 Mg 0.586 0.836 0.172  0.00
3 Fe 0.156 0.406 0.312  3.81
4 Fe 0.844 0.594 0.688  3.81
5 F 0.222 0.903 0.912  0.02
6 F 0.690 0.509 0.912  0.02
7 F 0.886 0.701 0.404  0.04
8 F 0.114 0.299 0.596  0.04
9 F 0.483 0.797 0.596  0.04
10 F 0.310 0.491 0.088  0.02
11 F 0.517 0.203 0.404  0.04
12 F 0.778 0.097 0.088  0.02

Properties
excess energy over the best structure of this formula in the dataset	0.000	eV per atom
symmetry	No. 15

=====

- excess energy over the best structure of this formula in the dataset of number 1 (MgFeF4)?
  0.000 eV per atom